Record 1
ScZn2Ge: relaxed, PBE-GGA.

Unit cell a=3.8664 b=3.8664 c=20.1400 alpha=90.00 beta=90.00 gamma=90.00
Sites, in units of the cell vectors:
Sc 0.0000 0.0000 0.0000
Sc 0.0000 0.5000 0.2500
Sc 0.5000 0.0000 0.7500
Sc 0.5000 0.5000 0.5000
Zn 0.2411 0.2500 0.6250
Zn 0.2500 0.7411 0.8750
Zn 0.2500 0.7589 0.3750
Zn 0.2589 0.2500 0.1250
Zn 0.7411 0.7500 0.1250
Zn 0.7500 0.2411 0.3750
Zn 0.7500 0.2589 0.8750
Zn 0.7589 0.7500 0.6250
Ge 0.0000 0.0000 0.5000
Ge 0.0000 0.5000 0.7500
Ge 0.5000 0.0000 0.2500
Ge 0.5000 0.5000 0.0000

Results
Crystal system: tetragonal
SG: I-42d, No. 122
Total DFT energy (no corrections): -3.548 eV/atom

---

Record 2
Sm6P2PtSe3: relaxed, PBE-GGA.

Unit cell a=9.3404 b=9.3404 c=8.3926 alpha=103.31 beta=103.31 gamma=25.46
Sites, in units of the cell vectors:
Sm 0.0047 0.0047 0.2428
Sm 0.3288 0.3288 0.4269
Sm 0.3336 0.3336 0.9035
Sm 0.6664 0.6664 0.0965
Sm 0.6712 0.6712 0.5731
Sm 0.9953 0.9953 0.7572
P 0.1674 0.1674 0.3352
P 0.8326 0.8326 0.6648
Pt 0.5000 0.5000 0.0000
Se 0.1673 0.1673 0.8323
Se 0.5000 0.5000 0.5000
Se 0.8327 0.8327 0.1677

Results
Crystal system: monoclinic
SG: C2/m, No. 12
Total DFT energy (no corrections): -6.299 eV/atom

---

Record 3
Li3SF: relaxed, PBE-GGA.

Unit cell a=9.5975 b=3.4894 c=7.7118 alpha=90.00 beta=90.00 gamma=90.00
Sites, in units of the cell vectors:
Li 0.0639 0.2500 0.1214
Li 0.1215 0.7500 0.4532
Li 0.1498 0.2500 0.7507
Li 0.3502 0.7500 0.2507
Li 0.3785 0.2500 0.9532
Li 0.4361 0.7500 0.6214
Li 0.5639 0.2500 0.3786
Li 0.6215 0.7500 0.0468
Li 0.6498 0.2500 0.7493
Li 0.8502 0.7500 0.2493
Li 0.8785 0.2500 0.5468
Li 0.9361 0.7500 0.8786
S 0.1919 0.7500 0.9928
S 0.3081 0.2500 0.4928
S 0.6919 0.7500 0.5072
S 0.8081 0.2500 0.0072
F 0.0091 0.7500 0.6528
F 0.4909 0.2500 0.1528
F 0.5091 0.7500 0.8472
F 0.9909 0.2500 0.3472

Results
E above lowest polymorph: 0.0724 eV/atom
Crystal system: orthorhombic
SG: Pnma, No. 62

---

Record 4
TmThN: relaxed, PBE-GGA.

Unit cell a=6.2717 b=6.1105 c=7.5580 alpha=90.00 beta=90.00 gamma=90.00
Sites, in units of the cell vectors:
Tm 0.2501 0.0000 0.0000
Tm 0.2501 0.5000 0.5000
Tm 0.7499 0.0000 0.0000
Tm 0.7499 0.5000 0.5000
Th 0.0000 0.0000 0.4126
Th 0.0000 0.5000 0.9126
Th 0.5000 0.0000 0.6225
Th 0.5000 0.5000 0.1225
N 0.1132 0.0000 0.7119
N 0.1132 0.5000 0.2119
N 0.8868 0.0000 0.7119
N 0.8868 0.5000 0.2119

Results
E above lowest polymorph: 1.0467 eV/atom
Crystal system: orthorhombic
SG: Amm2, No. 38

---

Record 5
Cd2InSi: relaxed, PBE-GGA.

Unit cell a=5.5950 b=5.5950 c=2.8955 alpha=90.00 beta=90.00 gamma=90.00
Sites, in units of the cell vectors:
Cd 0.0000 0.5000 0.0000
Cd 0.5000 0.0000 0.0000
In 0.0000 0.0000 0.5000
Si 0.5000 0.5000 0.5000

Results
E above lowest polymorph: 0.0805 eV/atom
Crystal system: tetragonal
SG: P4/mmm, No. 123

---

Record 6
Tb3Pm2Au4: relaxed, PBE-GGA.

Unit cell a=9.6025 b=9.6025 c=7.5545 alpha=90.00 beta=90.00 gamma=136.72
Sites, in units of the cell vectors:
Tb 0.0000 0.0000 0.0000
Tb 0.0136 0.4864 0.2500
Tb 0.4864 0.0136 0.7500
Tb 0.5000 0.5000 0.5000
Tb 0.5136 0.9864 0.2500
Tb 0.9864 0.5136 0.7500
Pm 0.0960 0.9040 0.4216
Pm 0.4040 0.5960 0.9216
Pm 0.5960 0.4040 0.0784
Pm 0.9040 0.0960 0.5784
Au 0.1675 0.8325 0.0317
Au 0.1825 0.3175 0.2500
Au 0.3175 0.1825 0.7500
Au 0.3325 0.6675 0.5317
Au 0.6675 0.3325 0.4683
Au 0.6825 0.8175 0.2500
Au 0.8175 0.6825 0.7500
Au 0.8325 0.1675 0.9683

Results
Crystal system: orthorhombic
SG: Cmce, No. 64
Total DFT energy (no corrections): -4.716 eV/atom

---

Record 7
Pu6Ir5Ru: relaxed, PBE-GGA.

Unit cell a=4.8101 b=6.9104 c=7.5943 alpha=90.00 beta=108.04 gamma=90.00
Sites, in units of the cell vectors:
Pu 0.0000 0.2472 0.0000
Pu 0.0000 0.7528 0.0000
Pu 0.3320 0.2510 0.6653
Pu 0.3320 0.7490 0.6653
Pu 0.6680 0.2510 0.3347
Pu 0.6680 0.7490 0.3347
Ir 0.1620 0.5000 0.3210
Ir 0.1688 0.0000 0.3349
Ir 0.5000 0.0000 0.0000
Ir 0.8312 0.0000 0.6651
Ir 0.8380 0.5000 0.6790
Ru 0.5000 0.5000 0.0000

Results
Crystal system: monoclinic
SG: P2/m, No. 10
Total DFT energy (no corrections): -12.015 eV/atom

---

Record 8
ScSiP: relaxed, PBE-GGA.

Unit cell a=3.2644 b=3.2644 c=9.0026 alpha=90.00 beta=90.00 gamma=90.00
Sites, in units of the cell vectors:
Sc 0.0000 0.0000 0.0000
Sc 0.5000 0.5000 0.5000
Si 0.0000 0.0000 0.3041
Si 0.5000 0.5000 0.8041
P 0.0000 0.0000 0.6841
P 0.5000 0.5000 0.1841

Results
E above lowest polymorph: 0.0454 eV/atom
Crystal system: tetragonal
SG: I4mm, No. 107

---

Record 9
Nd8SnPb2: relaxed, PBE-GGA.

Unit cell a=10.4403 b=10.4403 c=7.0757 alpha=102.42 beta=102.42 gamma=29.32
Sites, in units of the cell vectors:
Nd 0.0190 0.0190 0.2646
Nd 0.2142 0.2142 0.8331
Nd 0.3418 0.3418 0.4905
Nd 0.4092 0.4092 0.0251
Nd 0.5908 0.5908 0.9749
Nd 0.6582 0.6582 0.5095
Nd 0.7858 0.7858 0.1669
Nd 0.9810 0.9810 0.7354
Sn 0.5000 0.5000 0.5000
Pb 0.1806 0.1806 0.2658
Pb 0.8194 0.8194 0.7342

Results
Crystal system: monoclinic
SG: C2/m, No. 12
Total DFT energy (no corrections): -4.821 eV/atom

---

Record 10
SmSi2Sn2Pt7: relaxed, PBE-GGA.

Unit cell a=3.9646 b=3.9646 c=15.4934 alpha=97.22 beta=97.22 gamma=90.03
Sites, in units of the cell vectors:
Sm 0.0000 0.0000 0.0000
Si 0.3826 0.3826 0.7611
Si 0.6174 0.6174 0.2389
Sn 0.2106 0.2106 0.4228
Sn 0.7894 0.7894 0.5772
Pt 0.0737 0.5737 0.1503
Pt 0.3041 0.3041 0.6077
Pt 0.4263 0.9263 0.8497
Pt 0.5000 0.5000 0.0000
Pt 0.5737 0.0737 0.1503
Pt 0.6959 0.6959 0.3923
Pt 0.9263 0.4263 0.8497

Results
Crystal system: monoclinic
SG: C2/m, No. 12
Total DFT energy (no corrections): -6.150 eV/atom

---

Record 11
Ba2NaIn12Rh3: relaxed, PBE-GGA.

Unit cell a=8.8601 b=8.8601 c=8.8601 alpha=69.12 beta=69.12 gamma=69.12
Sites, in units of the cell vectors:
Ba 0.0969 0.0969 0.0969
Ba 0.9031 0.9031 0.9031
Na 0.5000 0.5000 0.5000
In 0.1158 0.6380 0.6380
In 0.2266 0.2266 0.5793
In 0.2266 0.5793 0.2266
In 0.3620 0.3620 0.8842
In 0.3620 0.8842 0.3620
In 0.4207 0.7734 0.7734
In 0.5793 0.2266 0.2266
In 0.6380 0.1158 0.6380
In 0.6380 0.6380 0.1158
In 0.7734 0.4207 0.7734
In 0.7734 0.7734 0.4207
In 0.8842 0.3620 0.3620
Rh 0.0000 0.5000 0.5000
Rh 0.5000 0.0000 0.5000
Rh 0.5000 0.5000 0.0000

Results
Crystal system: trigonal
SG: R-3m, No. 166
Total DFT energy (no corrections): -3.409 eV/atom

---

Record 12
PmSbRu2: relaxed, PBE-GGA.

Unit cell a=4.6087 b=4.6087 c=3.5274 alpha=90.00 beta=90.00 gamma=90.00
Sites, in units of the cell vectors:
Pm 0.0000 0.0000 0.0000
Sb 0.5000 0.5000 0.0000
Ru 0.0000 0.5000 0.5000
Ru 0.5000 0.0000 0.5000

Results
Crystal system: tetragonal
SG: P4/mmm, No. 123
Total DFT energy (no corrections): -7.087 eV/atom

---

Record 13
CrCd2P: relaxed, PBE-GGA.

Unit cell a=4.0122 b=4.0122 c=4.6232 alpha=90.00 beta=90.00 gamma=90.00
Sites, in units of the cell vectors:
Cr 0.0000 0.0000 0.0000
Cd 0.0000 0.5000 0.5000
Cd 0.5000 0.0000 0.5000
P 0.5000 0.5000 0.0000

Results
Crystal system: tetragonal
SG: P4/mmm, No. 123
Total DFT energy (no corrections): -3.920 eV/atom

---

Record 14
Tb2Pr3Ag3: relaxed, PBE-GGA.

Unit cell a=3.7384 b=5.4596 c=22.2232 alpha=90.00 beta=90.00 gamma=90.00
Sites, in units of the cell vectors:
Tb 0.0000 0.0000 0.2323
Tb 0.0000 0.0000 0.7677
Tb 0.5000 0.5000 0.2677
Tb 0.5000 0.5000 0.7323
Pr 0.0000 0.0000 0.0000
Pr 0.0000 0.5000 0.1221
Pr 0.0000 0.5000 0.8779
Pr 0.5000 0.0000 0.3779
Pr 0.5000 0.0000 0.6221
Pr 0.5000 0.5000 0.5000
Ag 0.0000 0.0000 0.5000
Ag 0.0000 0.5000 0.3782
Ag 0.0000 0.5000 0.6218
Ag 0.5000 0.0000 0.1218
Ag 0.5000 0.0000 0.8782
Ag 0.5000 0.5000 0.0000

Results
Crystal system: orthorhombic
SG: Immm, No. 71
Total DFT energy (no corrections): -4.203 eV/atom

---

Record 15
SrAc4Eu: relaxed, PBE-GGA.

Unit cell a=7.5018 b=7.5018 c=7.5018 alpha=60.00 beta=60.00 gamma=60.00
Sites, in units of the cell vectors:
Sr 0.0000 0.0000 0.0000
Ac 0.1260 0.6247 0.6247
Ac 0.6247 0.1260 0.6247
Ac 0.6247 0.6247 0.1260
Ac 0.6247 0.6247 0.6247
Eu 0.2500 0.2500 0.2500

Results
Crystal system: cubic
SG: F-43m, No. 216
Total DFT energy (no corrections): -4.548 eV/atom

---

Record 16
Mg2Zn4Se: relaxed, PBE-GGA.

Unit cell a=7.0795 b=7.0795 c=7.0795 alpha=111.52 beta=111.52 gamma=105.45
Sites, in units of the cell vectors:
Mg 0.1519 0.6519 0.8039
Mg 0.3481 0.1519 0.5000
Mg 0.6519 0.8481 0.5000
Mg 0.8481 0.3481 0.1961
Zn 0.0241 0.8202 0.5000
Zn 0.1798 0.6798 0.2039
Zn 0.3202 0.5241 0.5000
Zn 0.4759 0.9759 0.7961
Zn 0.5241 0.0241 0.2039
Zn 0.6798 0.4759 0.5000
Zn 0.8202 0.3202 0.7961
Zn 0.9759 0.1798 0.5000
Se 0.2500 0.2500 0.0000
Se 0.7500 0.7500 0.0000

Results
E above lowest polymorph: 0.2589 eV/atom
Crystal system: tetragonal
SG: I4/mcm, No. 140

---

Record 17
FeCuSeS: relaxed, PBE-GGA.

Unit cell a=5.3872 b=5.4405 c=10.6889 alpha=90.00 beta=90.00 gamma=90.00
Sites, in units of the cell vectors:
Fe 0.0000 0.2500 0.1134
Fe 0.0000 0.7500 0.3866
Fe 0.5000 0.2500 0.8866
Fe 0.5000 0.7500 0.6134
Cu 0.0000 0.2500 0.6136
Cu 0.0000 0.7500 0.8864
Cu 0.5000 0.2500 0.3864
Cu 0.5000 0.7500 0.1136
Se 0.2455 0.5000 0.2500
Se 0.2545 0.5000 0.7500
Se 0.7455 0.0000 0.7500
Se 0.7545 0.0000 0.2500
S 0.2500 0.0019 0.0000
S 0.2500 0.9981 0.5000
S 0.7500 0.4981 0.0000
S 0.7500 0.5019 0.5000

Results
Crystal system: orthorhombic
SG: I2_12_12_1, No. 24
Total DFT energy (no corrections): -5.244 eV/atom

---

So what do the calculations give for D(E_F)? Going down the list: 0.368, 0.530, 0.000, 1.113, 0.693, 1.050, 3.353, 1.061, 1.170, 0.257, 0.758, 0.451, 0.397, 1.107, 3.159, 0.460, 1.143 states/eV per atom.